First-principles (GGA-PBE) data for an optimized crystal structure of PrSmIrRh, as listed in Alexandria. Values from VASP.

```
&SYSTEM
  ibrav = 0, nat = 4, ntyp = 4
/
ATOMIC_SPECIES
Pr 140.91 Pr.upf
Sm 150.36 Sm.upf
Ir 192.22 Ir.upf
Rh 102.91 Rh.upf
CELL_PARAMETERS angstrom
-3.1480 3.5708 1.5356
-0.4830 0.9782 4.8814
1.7921 4.2730 1.8837
ATOMIC_POSITIONS angstrom
Pr -1.3792 6.6165 6.2255
Sm -0.4597 2.2055 2.0752
Ir 0.0000 0.0000 0.0000
Rh -0.9195 4.4110 4.1504
```

Results
* distance to the lowest polymorph of the same formula: 29 meV per atom
* spin magnetization: 0.000 μB/atom
* uncorrected energy: -7.0591 eV/atom
* theoretical density: 11.0 g/cm³